# 1
First-principles (PBE with a Hubbard U) data for crystalline SrDyV4O12 at its relaxed geometry, as listed in Alexandria.

abc: 6.042 6.042 7.283
angles: 90.00 90.00 110.48
Last column: magnetic moment on the atom in μB.
Positions (direct):
O (0.281, 0.719, 0.238)  -0.01
O (0.976, 0.586, 0.500)  -0.05
O (0.009, 0.457, 0.000)  -0.03
O (0.770, 0.684, 0.798)  -0.03
O (0.316, 0.230, 0.202)  -0.03
O (0.414, 0.024, 0.500)  -0.05
O (0.770, 0.684, 0.202)  -0.03
O (0.281, 0.719, 0.762)  -0.01
O (0.316, 0.230, 0.798)  -0.03
O (0.784, 0.216, 0.291)  -0.06
O (0.543, 0.991, 0.000)  -0.03
O (0.784, 0.216, 0.709)  -0.06
V (0.468, 0.047, 0.754)  0.35
V (0.953, 0.532, 0.754)  0.35
V (0.468, 0.047, 0.246)  0.35
V (0.953, 0.532, 0.246)  0.35
Sr (0.987, 0.013, 0.500)  0.00
Dy (0.427, 0.573, 0.000)  0.00

Results
Its space group is Amm2, No. 38.


# 2
First-principles (PBE with a Hubbard U) data for crystalline SrDyV2O8 at its relaxed geometry, as listed in Alexandria.

abc: 6.178 6.178 6.178
angles: 106.02 106.02 116.62
Last column: magnetic moment on the atom in μB.
Positions (direct):
O (0.342, 0.532, 0.190)  0.13
O (0.468, 0.658, 0.810)  0.13
O (0.397, 0.072, 0.325)  0.14
O (0.928, 0.603, 0.675)  0.14
O (0.928, 0.253, 0.325)  0.14
O (0.342, 0.152, 0.810)  0.13
O (0.747, 0.072, 0.675)  0.14
O (0.848, 0.658, 0.190)  0.13
Sr (0.000, 0.000, 0.000)  0.00
V (0.500, 0.500, 0.000)  -0.10
V (0.750, 0.250, 0.500)  -0.10
Dy (0.250, 0.750, 0.500)  -0.01

Results
Its space group is I-4m2, No. 119.


# 3
First-principles (PBE with a Hubbard U) data for crystalline SrDyW2O8 at its relaxed geometry, as listed in Alexandria.

abc: 6.010 6.010 7.097
angles: 90.00 90.00 120.00
Last column: magnetic moment on the atom in μB.
Positions (direct):
O (0.667, 0.333, 0.957)  -0.02
O (0.163, 0.837, 0.711)  -0.02
O (0.325, 0.163, 0.289)  -0.02
O (0.675, 0.837, 0.711)  -0.02
O (0.837, 0.163, 0.289)  -0.02
O (0.333, 0.667, 0.043)  -0.02
O (0.163, 0.325, 0.711)  -0.02
O (0.837, 0.675, 0.289)  -0.02
W (0.333, 0.667, 0.789)  0.51
W (0.667, 0.333, 0.211)  0.51
Sr (0.000, 0.000, 0.000)  0.00
Dy (0.000, 0.000, 0.500)  0.08

Results
Its space group is P-3m1, No. 164.


Number 1: mass density 4.31 g/cm3, calculated total energy -7.54 eV per atom, total moment 1.0 μB/cell. Number 2: mass density 4.44 g/cm3, calculated total energy -7.46 eV per atom, total moment 1.1 μB/cell. Number 3: mass density 5.58 g/cm3, calculated total energy -7.40 eV per atom, total moment 1.0 μB/cell.